DFT (PBE-GGA) results for crystalline Tm3ScPb12 at its relaxed geometry.

a b c (Å): 4.8876 4.8876 19.1079
angles (deg): 90.00 90.00 90.00
Positions (direct):
Pb 0.0000 0.5000 0.6260
Pb 0.5000 0.5000 0.5000
Pb 0.5000 0.5000 0.0000
Tm 0.0000 0.0000 0.2486
Pb 0.5000 0.0000 0.8781
Tm 0.0000 0.0000 0.7514
Pb 0.5000 0.0000 0.1219
Pb 0.0000 0.5000 0.3740
Pb 0.5000 0.5000 0.2480
Pb 0.0000 0.5000 0.8781
Pb 0.5000 0.0000 0.6260
Pb 0.5000 0.5000 0.7520
Pb 0.5000 0.0000 0.3740
Sc 0.0000 0.0000 0.0000
Pb 0.0000 0.5000 0.1219
Tm 0.0000 0.0000 0.5000

Summary:
ΔE_f = -0.20 eV/atom
DFT total energy = -4.21 eV per atom
Space-group type = P4/mmm

DFT (PBE-GGA) results for crystalline NaYZr at its relaxed geometry.

a b c (Å): 5.6856 5.6856 3.0664
angles (deg): 90.00 90.00 120.00
Last column: magnetic moment on the atom in μB.
Positions (direct):
Zr 0.3333 0.6667 0.0000  0.50
Na 0.6667 0.3333 0.5000  0.00
Y 0.0000 0.0000 0.0000  0.14

Summary:
ΔE_f = 0.64 eV/atom
Energy relative to the lowest polymorph listed for this composition = 0.5480 eV/atom
DFT total energy = -4.80 eV per atom
Space-group type = P-6m2

DFT (PBE-GGA) results for crystalline ErAlAg2 at its relaxed geometry.

a b c (Å): 4.1476 4.4422 4.4422
angles (deg): 90.00 90.00 90.00
Positions (direct):
Ag 0.0000 0.0000 0.5000
Er 0.5000 0.5000 0.5000
Ag 0.0000 0.5000 0.0000
Al 0.5000 0.0000 0.0000

Summary:
ΔE_f = -0.17 eV/atom
DFT total energy = -3.67 eV per atom
Space-group type = P4/mmm

DFT (PBE-GGA) results for crystalline Cs2NaNp3Se8 at its relaxed geometry.

a b c (Å): 8.4019 8.4019 10.1218
angles (deg): 65.48 65.48 60.00
Last column: magnetic moment on the atom in μB.
Positions (direct):
Se 0.7137 0.7137 0.8588  -0.14
Se 0.7509 0.7509 0.2040  -0.16
Np 0.4913 0.9864 0.0309  3.18
Se 0.7509 0.2941 0.2040  -0.16
Se 0.2232 0.2232 0.8629  -0.14
Se 0.2680 0.2680 0.1959  -0.13
Se 0.2232 0.6908 0.8629  -0.14
Se 0.2941 0.7509 0.2040  -0.16
Cs 0.1374 0.1374 0.5878  -0.01
Na 0.9824 0.9824 0.0528  0.00
Np 0.9864 0.4913 0.0309  3.18
Se 0.6908 0.2232 0.8629  -0.14
Np 0.4913 0.4913 0.0309  3.18
Cs 0.4889 0.4889 0.5333  -0.01

Summary:
DFT total energy = -6.12 eV per atom
Space-group type = R3m
Formation energy from raw total energies = -1.138 eV per atom

DFT (PBE-GGA) results for crystalline ScAl2Cl8 at its relaxed geometry.

a b c (Å): 6.1459 7.8969 7.8969
angles (deg): 73.02 84.76 84.76
Last column: magnetic moment on the atom in μB.
Positions (direct):
Cl 0.2855 0.8280 0.8280  0.00
Cl 0.2361 0.2771 0.9199  -0.01
Cl 0.7639 0.0801 0.7229  -0.01
Cl 0.7145 0.1720 0.1720  0.00
Cl 0.7639 0.7229 0.0801  -0.01
Cl 0.2374 0.3501 0.3501  0.00
Sc 0.0000 0.0000 0.0000  0.72
Al 0.3529 0.1878 0.1878  0.01
Cl 0.7626 0.6499 0.6499  0.00
Cl 0.2361 0.9199 0.2771  -0.01
Al 0.6471 0.8122 0.8122  0.01

Summary:
DFT total energy = -4.19 eV per atom
Space-group type = C2/m
Formation energy from raw total energies = -1.593 eV per atom

DFT (PBE-GGA) results for crystalline CaYAs4 at its relaxed geometry.

a b c (Å): 5.7539 5.7539 5.7539
angles (deg): 60.00 60.00 60.00
Positions (direct):
As 0.3749 0.3749 0.8752
As 0.3749 0.8752 0.3749
As 0.8752 0.3749 0.3749
Y 0.0000 0.0000 0.0000
Ca 0.7500 0.7500 0.7500
As 0.3749 0.3749 0.3749

Summary:
ΔE_f = -0.33 eV/atom
DFT total energy = -4.84 eV per atom
Space-group type = F-43m

DFT (PBE-GGA) results for crystalline NaCaNbO4 at its relaxed geometry.

a b c (Å): 4.0032 4.0032 6.6955
angles (deg): 107.39 107.39 90.00
Positions (direct):
Ca 0.3488 0.3488 0.6976
O 0.4951 0.9951 0.9902
O 0.9951 0.4951 0.9902
O 0.8380 0.8380 0.6761
Nb 0.0045 0.0045 0.0090
O 0.1647 0.1647 0.3294
Na 0.6537 0.6537 0.3075

Summary:
DFT total energy = -7.27 eV per atom
Space-group type = I4mm
Formation energy from raw total energies = -2.524 eV per atom

DFT (PBE-GGA) results for crystalline K2CrRu at its relaxed geometry.

a b c (Å): 3.2169 4.8668 5.8309
angles (deg): 90.00 90.00 90.00
Last column: magnetic moment on the atom in μB.
Positions (direct):
K 0.0000 0.0000 0.0000  0.01
Cr 0.0000 0.5000 0.5000  3.60
K 0.5000 0.5000 0.0000  0.04
Ru 0.5000 0.0000 0.5000  -1.10

Summary:
ΔE_f = 1.29 eV/atom
Energy relative to the lowest polymorph listed for this composition = 0.6003 eV/atom
DFT total energy = -3.99 eV per atom
Space-group type = Pmmm

DFT (PBE-GGA) results for crystalline ReTeRh2 at its relaxed geometry.

a b c (Å): 4.7617 4.7617 4.7679
angles (deg): 81.39 81.39 37.80
Positions (direct):
Rh 0.2412 0.2412 0.7713
Te 0.0000 0.0000 0.5000
Rh 0.7588 0.7588 0.2287
Re 0.5000 0.5000 0.0000

Summary:
DFT total energy = -7.27 eV per atom
Space-group type = C2/m
Formation energy from raw total energies = 0.308 eV per atom

DFT (PBE-GGA) results for crystalline HPbS2N at its relaxed geometry.

a b c (Å): 5.3637 5.3637 4.6598
angles (deg): 90.00 90.00 90.00
Last column: magnetic moment on the atom in μB.
Positions (direct):
S 0.5000 0.0000 0.0000  0.51
H 0.5000 0.5000 0.5000  0.37
Pb 0.0000 0.0000 0.0000  -0.04
N 0.0000 0.0000 0.5000  1.22
S 0.0000 0.5000 0.0000  0.51

Summary:
DFT total energy = -3.05 eV per atom
Space-group type = P4/mmm

DFT (PBE-GGA) results for crystalline ZnIr2Rh6 at its relaxed geometry.

a b c (Å): 3.8483 4.6983 8.1857
angles (deg): 72.93 76.40 65.82
Positions (direct):
Rh 0.0018 0.8269 0.1694
Rh 0.9982 0.1731 0.8306
Ir 0.6730 0.3806 0.2735
Rh 0.3336 0.2770 0.0559
Ir 0.3270 0.6194 0.7265
Rh 0.6664 0.7230 0.9441
Rh 0.6653 0.0613 0.6082
Zn 0.0000 0.5000 0.5000
Rh 0.3347 0.9387 0.3918

Summary:
ΔE_f = -0.04 eV/atom
Energy relative to the lowest polymorph listed for this composition = 0.0000 eV/atom
DFT total energy = -7.06 eV per atom
Space-group type = C2/m

DFT (PBE-GGA) results for crystalline Cr2TcSe at its relaxed geometry.

a b c (Å): 2.9578 2.9578 6.1220
angles (deg): 90.00 90.00 89.99
Positions (direct):
Cr 0.0000 0.0000 0.0013
Cr 0.0000 0.0000 0.4987
Tc 0.5000 0.5000 0.7500
Se 0.5000 0.5000 0.2500

Summary:
DFT total energy = -8.09 eV per atom
Space-group type = P4/mmm
Formation energy from raw total energies = 0.188 eV per atom